The following is a DFT calculation (GGA-PBE) of crystalline RbSmNO at its relaxed geometry. Values from VASP.

Geometry as Quantum ESPRESSO input:
```
&SYSTEM
  ibrav = 0, nat = 16, ntyp = 4
/
ATOMIC_SPECIES
Rb 85.47 Rb.upf
Sm 150.36 Sm.upf
N 14.01 N.upf
O 16.00 O.upf
CELL_PARAMETERS angstrom
7.7067 0.0000 0.0000
0.0000 9.1396 0.0000
0.0000 0.0000 5.1865
ATOMIC_POSITIONS crystal
Rb 0.1030 0.1107 0.0000
Rb 0.3970 0.1107 0.5000
Rb 0.6030 0.8893 0.0000
Rb 0.8970 0.8893 0.5000
Sm 0.0879 0.6166 0.0034
Sm 0.4121 0.6166 0.5034
Sm 0.5879 0.3834 0.0034
Sm 0.9121 0.3834 0.5034
N 0.1077 0.5858 0.5049
N 0.3923 0.5858 0.0049
N 0.6077 0.4142 0.5049
N 0.8923 0.4142 0.0049
O 0.0282 0.1766 0.4998
O 0.4718 0.1766 0.9998
O 0.5282 0.8234 0.4998
O 0.9718 0.8234 0.9998
```

Calculated values
E above lowest polymorph, eV per atom: 0.0000

The following is a DFT calculation (GGA-PBE) of crystalline Er3Sc3BiSbOs at its relaxed geometry. Values from VASP.

Geometry as Quantum ESPRESSO input:
```
&SYSTEM
  ibrav = 0, nat = 9, ntyp = 5
/
ATOMIC_SPECIES
Er 167.26 Er.upf
Sc 44.96 Sc.upf
Bi 208.98 Bi.upf
Sb 121.76 Sb.upf
Os 190.23 Os.upf
CELL_PARAMETERS angstrom
7.8899 0.0000 0.0000
-3.9450 6.8329 0.0000
0.0000 0.0000 4.1375
ATOMIC_POSITIONS crystal
Er 0.0586 0.7194 0.0000
Er 0.2806 0.3392 0.0000
Er 0.6608 0.9414 0.0000
Sc 0.4404 0.1058 0.5000
Sc 0.6654 0.5596 0.5000
Sc 0.8942 0.3346 0.5000
Bi 0.0000 0.0000 0.5000
Sb 0.3333 0.6667 0.5000
Os 0.6667 0.3333 0.0000
```

Calculated values
Total DFT energy (no corrections), eV per atom: -6.457

The following is a DFT calculation (GGA-PBE) of crystalline SiBiOsAu at its relaxed geometry. Values from VASP.

Geometry as Quantum ESPRESSO input:
```
&SYSTEM
  ibrav = 0, nat = 4, ntyp = 4
/
ATOMIC_SPECIES
Si 28.09 Si.upf
Bi 208.98 Bi.upf
Os 190.23 Os.upf
Au 196.97 Au.upf
CELL_PARAMETERS angstrom
0.0000 3.3408 3.3408
3.3408 0.0000 3.3408
3.3408 3.3408 0.0000
ATOMIC_POSITIONS crystal
Si 0.0000 0.0000 0.0000
Bi 0.5000 0.5000 0.5000
Os 0.2500 0.2500 0.2500
Au 0.7500 0.7500 0.7500
```

Calculated values
E above lowest polymorph, eV per atom: 0.0000

The following is a DFT calculation (GGA-PBE) of crystalline Dy3Zr3FeTe2 at its relaxed geometry. Values from VASP.

Geometry as Quantum ESPRESSO input:
```
&SYSTEM
  ibrav = 0, nat = 9, ntyp = 4
/
ATOMIC_SPECIES
Dy 162.50 Dy.upf
Zr 91.22 Zr.upf
Fe 55.84 Fe.upf
Te 127.60 Te.upf
CELL_PARAMETERS angstrom
8.0634 0.0000 0.0000
-4.0317 6.9831 0.0000
0.0000 0.0000 3.8122
ATOMIC_POSITIONS crystal
Dy 0.0000 0.6027 0.0000
Dy 0.3973 0.3973 0.0000
Dy 0.6027 0.0000 0.0000
Zr 0.0000 0.2292 0.5000
Zr 0.2292 0.0000 0.5000
Zr 0.7708 0.7708 0.5000
Fe 0.0000 0.0000 0.0000
Te 0.3333 0.6667 0.5000
Te 0.6667 0.3333 0.5000
```

Calculated values
Total DFT energy (no corrections), eV per atom: -6.616

The following is a DFT calculation (GGA-PBE) of crystalline NiH2Pt2 at its relaxed geometry. Values from VASP.

Geometry as Quantum ESPRESSO input:
```
&SYSTEM
  ibrav = 0, nat = 10, ntyp = 3
/
ATOMIC_SPECIES
Ni 58.69 Ni.upf
H 1.01 H.upf
Pt 195.08 Pt.upf
CELL_PARAMETERS angstrom
5.2629 0.0000 0.0000
0.0000 5.2629 0.0000
0.0000 0.0000 3.6875
ATOMIC_POSITIONS crystal
Ni 0.0000 0.0000 0.0000
Ni 0.5000 0.5000 0.0000
H 0.1866 0.3134 0.0000
H 0.3134 0.8134 0.0000
H 0.6866 0.1866 0.0000
H 0.8134 0.6866 0.0000
Pt 0.1846 0.3154 0.5000
Pt 0.3154 0.8154 0.5000
Pt 0.6846 0.1846 0.5000
Pt 0.8154 0.6846 0.5000
```

Calculated values
Total DFT energy (no corrections), eV per atom: -4.889

The following is a DFT calculation (GGA-PBE) of crystalline TmAlPt at its relaxed geometry. Values from VASP.

Geometry as Quantum ESPRESSO input:
```
&SYSTEM
  ibrav = 0, nat = 6, ntyp = 3
/
ATOMIC_SPECIES
Tm 168.93 Tm.upf
Al 26.98 Al.upf
Pt 195.08 Pt.upf
CELL_PARAMETERS angstrom
4.7724 0.0000 0.0000
-2.3862 4.1330 0.0000
0.0000 0.0000 5.7727
ATOMIC_POSITIONS crystal
Tm 0.3333 0.6667 0.2500
Tm 0.6667 0.3333 0.7500
Al 0.3333 0.6667 0.7500
Al 0.6667 0.3333 0.2500
Pt 0.0000 0.0000 0.0000
Pt 0.0000 0.0000 0.5000
```

Calculated values
Total DFT energy (no corrections), eV per atom: -5.274

The following is a DFT calculation (GGA-PBE) of crystalline PrGdCu2Sn2 at its relaxed geometry. Values from VASP.

Geometry as Quantum ESPRESSO input:
```
&SYSTEM
  ibrav = 0, nat = 6, ntyp = 4
/
ATOMIC_SPECIES
Pr 140.91 Pr.upf
Gd 157.25 Gd.upf
Cu 63.55 Cu.upf
Sn 118.71 Sn.upf
CELL_PARAMETERS angstrom
4.5959 0.0000 0.0000
-2.2979 3.9801 0.0000
0.0000 0.0000 7.4657
ATOMIC_POSITIONS crystal
Pr 0.0000 0.0000 0.0000
Gd 0.0000 0.0000 0.4992
Cu 0.3333 0.6667 0.7983
Cu 0.6667 0.3333 0.3206
Sn 0.3333 0.6667 0.2376
Sn 0.6667 0.3333 0.7230
```

Calculated values
Total DFT energy (no corrections), eV per atom: -4.741

The following is a DFT calculation (GGA-PBE) of crystalline LiZnCuBi at its relaxed geometry. Values from VASP.

Geometry as Quantum ESPRESSO input:
```
&SYSTEM
  ibrav = 0, nat = 4, ntyp = 4
/
ATOMIC_SPECIES
Li 6.94 Li.upf
Zn 65.41 Zn.upf
Cu 63.55 Cu.upf
Bi 208.98 Bi.upf
CELL_PARAMETERS angstrom
0.0000 3.2758 3.2758
3.2758 0.0000 3.2758
3.2758 3.2758 0.0000
ATOMIC_POSITIONS crystal
Li 0.0000 0.0000 0.0000
Zn 0.7500 0.7500 0.7500
Cu 0.5000 0.5000 0.5000
Bi 0.2500 0.2500 0.2500
```

Calculated values
E above lowest polymorph, eV per atom: 0.0000

The following is a DFT calculation (GGA-PBE) of crystalline LaSmBi2Te2 at its relaxed geometry. Values from VASP.

Geometry as Quantum ESPRESSO input:
```
&SYSTEM
  ibrav = 0, nat = 6, ntyp = 4
/
ATOMIC_SPECIES
La 138.91 La.upf
Sm 150.36 Sm.upf
Bi 208.98 Bi.upf
Te 127.60 Te.upf
CELL_PARAMETERS angstrom
4.4755 0.0000 0.0000
0.0000 4.4755 0.0000
0.0000 0.0000 9.5858
ATOMIC_POSITIONS crystal
La 0.0000 0.0000 0.0000
Sm 0.5000 0.5000 0.4296
Bi 0.0000 0.5000 0.7107
Bi 0.5000 0.0000 0.7107
Te 0.0000 0.0000 0.3452
Te 0.5000 0.5000 0.0897
```

Calculated values
Total DFT energy (no corrections), eV per atom: -5.140

The following is a DFT calculation (GGA-PBE) of crystalline NaYFe at its relaxed geometry. Values from VASP.

Geometry as Quantum ESPRESSO input:
```
&SYSTEM
  ibrav = 0, nat = 3, ntyp = 3
/
ATOMIC_SPECIES
Na 22.99 Na.upf
Y 88.91 Y.upf
Fe 55.84 Fe.upf
CELL_PARAMETERS angstrom
0.0000 3.4045 3.4045
3.4045 0.0000 3.4045
3.4045 3.4045 0.0000
ATOMIC_POSITIONS crystal
Na 0.0000 0.0000 0.0000
Y 0.7500 0.7500 0.7500
Fe 0.5000 0.5000 0.5000
```

Calculated values
Total DFT energy (no corrections), eV per atom: -4.226

The following is a DFT calculation (GGA-PBE) of crystalline PmCo at its relaxed geometry. Values from VASP.

Geometry as Quantum ESPRESSO input:
```
&SYSTEM
  ibrav = 0, nat = 2, ntyp = 2
/
ATOMIC_SPECIES
Pm 145.00 Pm.upf
Co 58.93 Co.upf
CELL_PARAMETERS angstrom
0.0000 2.7869 2.7869
2.7869 0.0000 2.7869
2.7869 2.7869 0.0000
ATOMIC_POSITIONS crystal
Pm 0.0000 0.0000 0.0000
Co 0.5000 0.5000 0.5000
```

Calculated values
Energy of formation from the pure elements, eV/atom: 0.26

The following is a DFT calculation (GGA-PBE) of crystalline SrGdTeAuS2 at its relaxed geometry. Values from VASP.

Geometry as Quantum ESPRESSO input:
```
&SYSTEM
  ibrav = 0, nat = 12, ntyp = 5
/
ATOMIC_SPECIES
Sr 87.62 Sr.upf
Gd 157.25 Gd.upf
Te 127.60 Te.upf
Au 196.97 Au.upf
S 32.06 S.upf
CELL_PARAMETERS angstrom
2.0406 -7.2844 0.0000
2.0406 7.2844 0.0000
0.0000 0.0000 11.0577
ATOMIC_POSITIONS crystal
Sr 0.2055 0.7945 0.7500
Sr 0.7945 0.2055 0.2500
Gd 0.0000 0.0000 0.0000
Gd 0.0000 0.0000 0.5000
Te 0.1117 0.8883 0.2500
Te 0.8883 0.1117 0.7500
Au 0.4819 0.5181 0.2500
Au 0.5181 0.4819 0.7500
S 0.3771 0.6229 0.0693
S 0.3771 0.6229 0.4307
S 0.6229 0.3771 0.5693
S 0.6229 0.3771 0.9307
```

Calculated values
Total DFT energy (no corrections), eV per atom: -4.910